(1)
# NaSCl6 | the Alexandria database | PBE | relaxed
# uncorrected formation energy: -0.408 eV per atom
# total DFT energy (no corrections): -2.474 eV per atom
# magnetic moment: 0.000 μB/f.u.
data_NaSCl6
_chemical_formula_sum 'Na2 S2 Cl12'
_symmetry_space_group_name_H-M 'C 1 2/m 1'
_symmetry_Int_Tables_number 12
_cell_length_a 7.2365
_cell_length_b 10.7228
_cell_length_c 6.4885
_cell_angle_alpha 90.00
_cell_angle_beta 119.33
_cell_angle_gamma 90.00
loop_
_symmetry_equiv_pos_as_xyz
'x,y,z'
'-x,-y,-z'
'-x,y,-z'
'x,-y,z'
'x+1/2,y+1/2,z'
'-x+1/2,-y+1/2,-z'
'-x+1/2,y+1/2,-z'
'x+1/2,-y+1/2,z'
loop_
_atom_site_label
_atom_site_fract_x
_atom_site_fract_y
_atom_site_fract_z
Na1 0.0000 0.0000 0.0000
S1 0.0000 0.5000 0.5000
Cl1 0.1327 0.3508 0.7828
Cl2 0.1921 0.0000 0.5133



(2)
# Ba3LaAu | the Alexandria database | PBE | relaxed
# total DFT energy (no corrections): -2.191 eV per atom
# magnetic moment: 0.654 μB/f.u.
# formation enthalpy at 0 K: 604 meV/atom
data_Ba3LaAu
_chemical_formula_sum 'Ba3 La1 Au1'
_symmetry_space_group_name_H-M 'P m -3 m'
_symmetry_Int_Tables_number 221
_symmetry_space_group_name_Hall '-P 4 2 3'
_cell_length_a 6.3531
_cell_length_b 6.3531
_cell_length_c 6.3531
_cell_angle_alpha 90.00
_cell_angle_beta 90.00
_cell_angle_gamma 90.00
loop_
_atom_site_label
_atom_site_fract_x
_atom_site_fract_y
_atom_site_fract_z
Ba1 0.0000 0.0000 0.5000
La1 0.0000 0.0000 0.0000
Au1 0.5000 0.5000 0.5000